VASP calculation (PBE-GGA) on a geometry-optimized Pm14HoIn structure.

Cell: 7.2010 7.2010 10.2399 Å, 90.00 90.00 90.00°
Positions (direct):
Pm: 0.0000 0.0000 0.0000
Pm: 0.0000 0.5000 0.0000
Pm: 0.0000 0.5000 0.5000
Pm: 0.2485 0.2485 0.2548
Pm: 0.2485 0.2485 0.7452
Pm: 0.2485 0.7515 0.2548
Pm: 0.2485 0.7515 0.7452
Pm: 0.5000 0.0000 0.0000
Pm: 0.5000 0.0000 0.5000
Pm: 0.5000 0.5000 0.0000
Pm: 0.7515 0.2485 0.2548
Pm: 0.7515 0.2485 0.7452
Pm: 0.7515 0.7515 0.2548
Pm: 0.7515 0.7515 0.7452
Ho: 0.5000 0.5000 0.5000
In: 0.0000 0.0000 0.5000

Output
**Symmetry**: P4/mmm
**Density of states at the Fermi level**: 21.06 states/eV/f.u.
**Energy relative to the elements**: -0.04 eV/atom
**Size of the total moment**: 0.000 μB/atom